# LiTa2Au | Alexandria via LeMat-Bulk | GGA-PBE | optimized geometry
# - Formation enthalpy at 0 K: 0.09 eV/atom
# - Polymorph energy (0 for the lowest one): 86.9 meV/atom
data_LiTa2Au
_space_group_name_H-M_alt 'P m m m'
_space_group_IT_number 47
_cell_length_a 3.150
_cell_length_b 4.407
_cell_length_c 4.872
_cell_angle_alpha 90.00
_cell_angle_beta 90.00
_cell_angle_gamma 90.00
loop_
_space_group_symop_operation_xyz
'x,y,z'
'-x,-y,-z'
'-x,-y,z'
'x,y,-z'
'x,-y,-z'
'-x,y,z'
'-x,y,-z'
'x,-y,z'
loop_
_atom_site_label
_atom_site_type_symbol
_atom_site_fract_x
_atom_site_fract_y
_atom_site_fract_z
Li1 Li 0.000 0.000 0.000
Ta1 Ta 0.000 0.500 0.500
Ta2 Ta 0.500 0.000 0.500
Au1 Au 0.500 0.500 0.000

---

# LiTa2Au | Alexandria via LeMat-Bulk | GGA-PBE | optimized geometry
# - Formation enthalpy at 0 K: 0.09 eV/atom
# - Polymorph energy (0 for the lowest one): 87.6 meV/atom
data_LiTa2Au
_space_group_name_H-M_alt 'P 1 m 1'
_space_group_IT_number 6
_cell_length_a 2.694
_cell_length_b 4.414
_cell_length_c 5.849
_cell_angle_alpha 90.00
_cell_angle_beta 103.25
_cell_angle_gamma 90.00
loop_
_space_group_symop_operation_xyz
'x,y,z'
'x,-y,z'
loop_
_atom_site_label
_atom_site_type_symbol
_atom_site_fract_x
_atom_site_fract_y
_atom_site_fract_z
Li1 Li 0.000 0.000 0.000
Ta1 Ta 0.239 0.000 0.508
Ta2 Ta 0.605 0.500 0.236
Au1 Au 0.866 0.500 0.772

---

# LiTaAu | Alexandria via LeMat-Bulk | GGA-PBE | optimized geometry
# - Formation enthalpy at 0 K: -0.07 eV/atom
# - Polymorph energy (0 for the lowest one): 0.0 meV/atom
data_LiTaAu
_space_group_name_H-M_alt 'C 1 2/m 1'
_space_group_IT_number 12
_cell_length_a 10.052
_cell_length_b 2.933
_cell_length_c 7.981
_cell_angle_alpha 90.00
_cell_angle_beta 117.91
_cell_angle_gamma 90.00
loop_
_space_group_symop_operation_xyz
'x,y,z'
'-x,-y,-z'
'-x,y,-z'
'x,-y,z'
'x+1/2,y+1/2,z'
'-x+1/2,-y+1/2,-z'
'-x+1/2,y+1/2,-z'
'x+1/2,-y+1/2,z'
loop_
_atom_site_label
_atom_site_type_symbol
_atom_site_fract_x
_atom_site_fract_y
_atom_site_fract_z
Li1 Li 0.165 0.000 0.331
Ta1 Ta 0.162 0.000 0.843
Au1 Au 0.000 0.500 0.000
Au2 Au 0.000 0.500 0.500

---

# LiTa2Au | Alexandria via LeMat-Bulk | GGA-PBE | optimized geometry
# - Formation enthalpy at 0 K: 0.09 eV/atom
# - Polymorph energy (0 for the lowest one): 87.1 meV/atom
data_LiTa2Au
_space_group_name_H-M_alt 'P 4 m m'
_space_group_IT_number 99
_cell_length_a 3.370
_cell_length_b 3.370
_cell_length_c 6.027
_cell_angle_alpha 90.00
_cell_angle_beta 90.00
_cell_angle_gamma 90.00
loop_
_space_group_symop_operation_xyz
'x,y,z'
'-y,x,z'
'-x,-y,z'
'y,-x,z'
'-x,y,z'
'y,x,z'
'x,-y,z'
'-y,-x,z'
loop_
_atom_site_label
_atom_site_type_symbol
_atom_site_fract_x
_atom_site_fract_y
_atom_site_fract_z
Li1 Li 0.000 0.000 0.000
Ta1 Ta 0.000 0.000 0.505
Ta2 Ta 0.500 0.500 0.270
Au1 Au 0.500 0.500 0.793

---

# LiTa2Au | Alexandria via LeMat-Bulk | GGA-PBE | optimized geometry
# - Formation enthalpy at 0 K: 0.33 eV/atom
# - Polymorph energy (0 for the lowest one): 327.1 meV/atom
data_LiTa2Au
_space_group_name_H-M_alt 'P 4/m m m'
_space_group_IT_number 123
_space_group_name_Hall '-P 4 2'
_cell_length_a 3.554
_cell_length_b 3.554
_cell_length_c 5.396
_cell_angle_alpha 90.00
_cell_angle_beta 90.00
_cell_angle_gamma 90.00
loop_
_atom_site_label
_atom_site_type_symbol
_atom_site_fract_x
_atom_site_fract_y
_atom_site_fract_z
Li1 Li 0.000 0.000 0.000
Ta1 Ta 0.500 0.500 0.249
Au1 Au 0.000 0.000 0.500

---

# LiTaAu2 | Alexandria via LeMat-Bulk | GGA-PBE | optimized geometry
# - Formation enthalpy at 0 K: -0.17 eV/atom
data_LiTaAu2
_space_group_name_H-M_alt 'C 1 m 1'
_space_group_IT_number 8
_cell_length_a 9.786
_cell_length_b 2.817
_cell_length_c 5.012
_cell_angle_alpha 90.00
_cell_angle_beta 96.32
_cell_angle_gamma 90.00
loop_
_space_group_symop_operation_xyz
'x,y,z'
'x,-y,z'
'x+1/2,y+1/2,z'
'x+1/2,-y+1/2,z'
loop_
_atom_site_label
_atom_site_type_symbol
_atom_site_fract_x
_atom_site_fract_y
_atom_site_fract_z
Li1 Li 0.000 0.000 0.000
Ta1 Ta 0.268 0.500 0.351
Au1 Au 0.011 0.500 0.508
Au2 Au 0.256 0.000 0.856

---

# LiTa2Au | Alexandria via LeMat-Bulk | GGA-PBE | optimized geometry
# - Formation enthalpy at 0 K: 0.01 eV/atom
# - Polymorph energy (0 for the lowest one): 6.0 meV/atom
data_LiTa2Au
_space_group_name_H-M_alt 'P 4 m m'
_space_group_IT_number 99
_cell_length_a 2.825
_cell_length_b 2.825
_cell_length_c 8.704
_cell_angle_alpha 90.00
_cell_angle_beta 90.00
_cell_angle_gamma 90.00
loop_
_space_group_symop_operation_xyz
'x,y,z'
'-y,x,z'
'-x,-y,z'
'y,-x,z'
'-x,y,z'
'y,x,z'
'x,-y,z'
'-y,-x,z'
loop_
_atom_site_label
_atom_site_type_symbol
_atom_site_fract_x
_atom_site_fract_y
_atom_site_fract_z
Li1 Li 0.000 0.000 0.000
Ta1 Ta 0.000 0.000 0.534
Ta2 Ta 0.500 0.500 0.276
Au1 Au 0.500 0.500 0.783

---

# LiTaAu | Alexandria via LeMat-Bulk | GGA-PBE | optimized geometry
# - Formation enthalpy at 0 K: -0.06 eV/atom
# - Polymorph energy (0 for the lowest one): 12.6 meV/atom
data_LiTaAu
_space_group_name_H-M_alt 'C 1 m 1'
_space_group_IT_number 8
_cell_length_a 14.296
_cell_length_b 2.907
_cell_length_c 4.990
_cell_angle_alpha 90.00
_cell_angle_beta 93.90
_cell_angle_gamma 90.00
loop_
_space_group_symop_operation_xyz
'x,y,z'
'x,-y,z'
'x+1/2,y+1/2,z'
'x+1/2,-y+1/2,z'
loop_
_atom_site_label
_atom_site_type_symbol
_atom_site_fract_x
_atom_site_fract_y
_atom_site_fract_z
Li1 Li 0.000 0.000 0.000
Li2 Li 0.176 0.500 0.914
Ta1 Ta 0.197 0.000 0.419
Ta2 Ta 0.358 0.500 0.454
Au1 Au 0.033 0.500 0.521
Au2 Au 0.330 0.000 0.948